Compound: Ce3DyC
Source: the Alexandria database
Functional: PBE
Structure: optimized geometry

Formation energy from the elements, eV per formula unit: 0.0
Total magnetic moment, μB/atom: 0.000
Symmetry: Pm-3m, No. 221

```
Ce3DyC
1.0
5.024 0.000 0.000
0.000 5.024 0.000
0.000 0.000 5.024
Ce Dy C
3 1 1
Cartesian
0.000 0.000 2.512 Ce
0.000 2.512 0.000 Ce
2.512 0.000 0.000 Ce
2.512 2.512 2.512 Dy
0.000 0.000 0.000 C
```

Compound: CeDyC
Source: the Alexandria database
Functional: PBE
Structure: optimized geometry

Formation energy from the elements, eV per formula unit: -0.6
Total magnetic moment, μB/atom: 0.319
Polymorph energy (0 for the lowest one), meV per atom: 14
Symmetry: P3m1, No. 156

```
CeDyC
1.0
3.545 0.000 0.000
-1.772 3.070 0.000
0.000 0.000 6.398
Ce Dy C
1 1 1
Cartesian
0.000 0.000 0.000 Ce
0.000 2.046 3.618 Dy
1.772 1.023 5.010 C
```

Which value of formation energy from the elements does entry 1 give?
0.0 eV per formula unit

Repeat the first record exactly.
Compound: Ce3DyC
Source: the Alexandria database
Functional: PBE
Structure: optimized geometry

Formation energy from the elements, eV per formula unit: 0.0
Total magnetic moment, μB/atom: 0.000
Symmetry: Pm-3m, No. 221

```
Ce3DyC
1.0
5.024 0.000 0.000
0.000 5.024 0.000
0.000 0.000 5.024
Ce Dy C
3 1 1
Cartesian
0.000 0.000 2.512 Ce
0.000 2.512 0.000 Ce
2.512 0.000 0.000 Ce
2.512 2.512 2.512 Dy
0.000 0.000 0.000 C
```

Look up the formation energy from the elements of the first one.
0.0 eV per formula unit

Repeat the second record exactly.
Compound: CeDyC
Source: the Alexandria database
Functional: PBE
Structure: optimized geometry

Formation energy from the elements, eV per formula unit: -0.6
Total magnetic moment, μB/atom: 0.319
Polymorph energy (0 for the lowest one), meV per atom: 14
Symmetry: P3m1, No. 156

```
CeDyC
1.0
3.545 0.000 0.000
-1.772 3.070 0.000
0.000 0.000 6.398
Ce Dy C
1 1 1
Cartesian
0.000 0.000 0.000 Ce
0.000 2.046 3.618 Dy
1.772 1.023 5.010 C
```